Compound: Zr2TlCd
Source: Alexandria
Functional: PBE
Structure: relaxed

Cell: 6.769 6.769 6.769 Å, 37.83 37.83 37.83°
Sites, in units of the cell vectors:
Zr  0.000  0.000  0.000
Zr  0.178  0.178  0.178
Tl  0.588  0.588  0.588
Cd  0.419  0.419  0.419

Output
The value obtained for the energy of formation from the pure elements is 0.3840 eV/atom. The space-group type is No. 160. The total energy is -0.173 hartree per atom.